Record 1
A relaxed structure of CsHg2TeSe4, computed with PBE.

E_form (uncorrected) = -26.9 kJ/mol of atoms

```
CsHg2TeSe4
1.0
7.782 0.000 0.000
3.891 6.348 -0.896
3.891 -0.188 6.409
Se Hg Te Cs
4 2 1 1
Direct
0.622 0.476 0.832 Se
0.930 0.524 0.168 Se
0.070 0.832 0.476 Se
0.378 0.168 0.524 Se
0.500 0.693 0.307 Hg
0.500 0.307 0.693 Hg
0.000 0.500 0.500 Te
0.000 0.000 0.000 Cs
```


Record 2
A relaxed structure of TmScHgPd, computed with PBE.

energy relative to the lowest polymorph listed for this composition = 38 meV/atom
E_form = -640 meV per atom

```
TmScHgPd
1.0
4.946 0.000 0.000
2.473 4.283 0.000
2.473 1.428 4.038
Sc Tm Hg Pd
1 1 1 1
Direct
0.000 0.000 0.000 Sc
0.500 0.500 0.500 Tm
0.250 0.250 0.250 Hg
0.750 0.750 0.750 Pd
```


Record 3
A relaxed structure of SrSbMo, computed with PBE.

E_form (uncorrected) = 12.7 kJ/mol of atoms
energy relative to the lowest polymorph listed for this composition = 0 meV/atom

```
SrSbMo
1.0
-4.163 -2.028 -4.490
-0.873 -2.653 -5.813
-0.444 -3.528 0.562
Mo Sb Sr
1 1 1
Direct
0.965 0.965 0.035 Mo
0.374 0.374 0.626 Sb
0.662 0.662 0.338 Sr
```


Record 4
A relaxed structure of SiTcPt2, computed with PBE.

E_form (uncorrected) = -18.5 kJ/mol of atoms

```
SiTcPt2
1.0
8.616 0.005 0.003
8.150 2.793 0.003
8.150 1.360 2.439
Tc Pt Si
1 2 1
Direct
0.750 0.750 0.750 Tc
0.506 0.506 0.506 Pt
0.994 0.994 0.994 Pt
0.250 0.250 0.250 Si
```


Record 5
A relaxed structure of LiCrTcAu2, computed with PBE.

E_form = 767 meV per atom

```
LiCrTcAu2
1.0
-2.956 -3.813 -1.810
3.268 -1.239 -2.727
1.840 -3.153 3.637
Tc Au Cr Li
1 2 1 1
Direct
0.000 0.000 0.000 Tc
0.000 0.000 0.500 Au
0.500 0.000 0.000 Au
0.000 0.500 0.000 Cr
0.500 0.500 0.500 Li
```


Record 6
A relaxed structure of NpUI, computed with PBE.

E_form (uncorrected) = -10.2 kJ/mol of atoms

```
NpUI
1.0
3.697 -0.008 -0.359
-0.026 3.697 -0.359
-2.598 -2.611 11.944
I Np U
2 2 2
Direct
0.092 0.092 0.340 I
0.908 0.908 0.660 I
0.178 0.178 0.928 Np
0.822 0.822 0.072 Np
0.399 0.399 0.148 U
0.601 0.601 0.852 U
```


Per-record uncorrected energy, eV/f.u.: -20.77; -18.86; -16.24; -28.64; -24.63; -26.10